Entry 1:
The following is a DFT calculation (PBE-GGA) of crystalline Nd6Cd2Tc at its relaxed geometry.

Geometry as CIF:
```
data_Nd6Cd2Tc
_cell_length_a 6.297
_cell_length_b 8.863
_cell_length_c 11.260
_cell_angle_alpha 90.00
_cell_angle_beta 118.12
_cell_angle_gamma 90.00
_symmetry_space_group_name_H-M 'P 1 21/c 1'
_symmetry_Int_Tables_number 14
_symmetry_space_group_name_Hall '-P 2ybc'
loop_
_atom_site_label
_atom_site_type_symbol
_atom_site_fract_x
_atom_site_fract_y
_atom_site_fract_z
_atom_site_occupancy
Nd1 Nd 0.074 0.178 0.471 1
Nd2 Nd 0.350 0.677 0.452 1
Nd3 Nd 0.371 0.031 0.257 1
Cd1 Cd 0.138 0.109 0.765 1
Tc1 Tc 0.000 0.000 0.000 1
```

## Properties
As for the total energy: -4.60 eV per atom. The value obtained for the density of states at the Fermi level is 1.309 states/eV/atom. The calculation puts the formation energy at -0.07 eV/atom.

=====

Entry 2:
The following is a DFT calculation (PBE-GGA) of crystalline LaRu2W2 at its relaxed geometry.

Geometry as CIF:
```
data_LaRu2W2
_cell_length_a 4.418
_cell_length_b 4.418
_cell_length_c 10.352
_cell_angle_alpha 90.00
_cell_angle_beta 90.00
_cell_angle_gamma 90.00
_symmetry_space_group_name_H-M 'I 4/m m m'
_symmetry_Int_Tables_number 139
_symmetry_space_group_name_Hall '-I 4 2'
loop_
_atom_site_label
_atom_site_type_symbol
_atom_site_fract_x
_atom_site_fract_y
_atom_site_fract_z
_atom_site_occupancy
La1 La 0.000 0.000 0.000 1
Ru1 Ru 0.000 0.500 0.250 1
W1 W 0.000 0.000 0.372 1
```

## Properties
As for the total energy: -9.70 eV per atom. The value obtained for the density of states at the Fermi level is 1.031 states/eV/atom. The calculation puts the formation energy at 0.17 eV/atom.

=====

Entry 3:
The following is a DFT calculation (PBE-GGA) of crystalline Ba2ZnAgH at its relaxed geometry.

Geometry as CIF:
```
data_Ba2ZnAgH
_cell_length_a 6.384
_cell_length_b 6.384
_cell_length_c 3.852
_cell_angle_alpha 90.00
_cell_angle_beta 90.00
_cell_angle_gamma 90.00
_symmetry_space_group_name_H-M 'P 4/m m m'
_symmetry_Int_Tables_number 123
_symmetry_space_group_name_Hall '-P 4 2'
loop_
_atom_site_label
_atom_site_type_symbol
_atom_site_fract_x
_atom_site_fract_y
_atom_site_fract_z
_atom_site_occupancy
Ba1 Ba 0.000 0.500 0.000 1
Zn1 Zn 0.000 0.000 0.500 1
Ag1 Ag 0.500 0.500 0.000 1
H1 H 0.500 0.500 0.500 1
```

## Properties
As for the total energy: -2.13 eV per atom. The value obtained for the density of states at the Fermi level is 0.740 states/eV/atom.

=====

Entry 4:
The following is a DFT calculation (PBE-GGA) of crystalline CuSbMoI2 at its relaxed geometry.

Geometry as CIF:
```
data_CuSbMoI2
_cell_length_a 5.603
_cell_length_b 5.603
_cell_length_c 5.252
_cell_angle_alpha 90.00
_cell_angle_beta 90.00
_cell_angle_gamma 90.00
_symmetry_space_group_name_H-M 'P 4/m m m'
_symmetry_Int_Tables_number 123
_symmetry_space_group_name_Hall '-P 4 2'
loop_
_atom_site_label
_atom_site_type_symbol
_atom_site_fract_x
_atom_site_fract_y
_atom_site_fract_z
_atom_site_occupancy
Cu1 Cu 0.000 0.000 0.000 1
Sb1 Sb 0.500 0.500 0.000 1
Mo1 Mo 0.500 0.500 0.500 1
I1 I 0.000 0.500 0.500 1
```

## Properties
As for the total energy: -3.57 eV per atom. The value obtained for the density of states at the Fermi level is 0.857 states/eV/atom. The value obtained for the formation energy (no corrections) is 0.865 eV per atom.

=====

Entry 5:
The following is a DFT calculation (PBE-GGA) of crystalline Sc2ZnRuC at its relaxed geometry.

Geometry as CIF:
```
data_Sc2ZnRuC
_cell_length_a 4.560
_cell_length_b 4.560
_cell_length_c 3.882
_cell_angle_alpha 90.00
_cell_angle_beta 90.00
_cell_angle_gamma 90.00
_symmetry_space_group_name_H-M 'P 4/m m m'
_symmetry_Int_Tables_number 123
_symmetry_space_group_name_Hall '-P 4 2'
loop_
_atom_site_label
_atom_site_type_symbol
_atom_site_fract_x
_atom_site_fract_y
_atom_site_fract_z
_atom_site_occupancy
Sc1 Sc 0.000 0.500 0.000 1
Zn1 Zn 0.000 0.000 0.500 1
Ru1 Ru 0.500 0.500 0.500 1
C1 C 0.500 0.500 0.000 1
```

## Properties
As for the total energy: -6.95 eV per atom. The value obtained for the density of states at the Fermi level is 0.308 states/eV/atom. The calculation puts the formation energy at -0.46 eV/atom.

=====

Entry 6:
The following is a DFT calculation (PBE-GGA) of crystalline TlIn2FeSn at its relaxed geometry.

Geometry as CIF:
```
data_TlIn2FeSn
_cell_length_a 5.099
_cell_length_b 5.099
_cell_length_c 4.942
_cell_angle_alpha 90.00
_cell_angle_beta 90.00
_cell_angle_gamma 90.00
_symmetry_space_group_name_H-M 'P 4/m m m'
_symmetry_Int_Tables_number 123
_symmetry_space_group_name_Hall '-P 4 2'
loop_
_atom_site_label
_atom_site_type_symbol
_atom_site_fract_x
_atom_site_fract_y
_atom_site_fract_z
_atom_site_occupancy
Tl1 Tl 0.000 0.000 0.000 1
In1 In 0.000 0.500 0.500 1
Fe1 Fe 0.500 0.500 0.500 1
Sn1 Sn 0.500 0.500 0.000 1
```

## Properties
As for the total energy: -3.95 eV per atom. The value obtained for the density of states at the Fermi level is 0.382 states/eV/atom. The calculation puts the formation energy at 0.11 eV/atom.